Record 1
# InTcW2, relaxed, DFT PBEsol
# Energy of formation from the pure elements (meV/atom): 352
# Energy relative to the lowest polymorph listed for this composition (eV/atom): 0.000
# Density (g cm⁻³): 14.712
data_InTcW2
_chemical_formula_sum 'In1 Tc1 W2'
_cell_length_a 2.8607
_cell_length_b 2.8607
_cell_length_c 8.0062
_cell_angle_alpha 90.00
_cell_angle_beta 90.00
_cell_angle_gamma 90.00
_space_group_name_H-M_alt 'P 4/m m m'
_space_group_IT_number 123
_space_group_name_Hall '-P 4 2'
loop_
_atom_site_label
_atom_site_type_symbol
_atom_site_fract_x
_atom_site_fract_y
_atom_site_fract_z
In1 In 0.0000 0.0000 0.0000
Tc1 Tc 0.0000 0.0000 0.5000
W1 W 0.5000 0.5000 0.2784

Record 2
# Al2SiBr, relaxed, DFT PBEsol
# Energy relative to the lowest polymorph listed for this composition (eV/atom): 0.000
# Density (g cm⁻³): 3.154
# Formation energy without anion corrections (kJ per mole of atoms): 9.1
data_Al2SiBr
_chemical_formula_sum 'Al4 Si2 Br2'
_cell_length_a 5.0923
_cell_length_b 5.1485
_cell_length_c 6.5050
_cell_angle_alpha 90.00
_cell_angle_beta 90.00
_cell_angle_gamma 90.00
_space_group_name_H-M_alt 'A m m 2'
_space_group_IT_number 38
_space_group_name_Hall 'A 2 -2'
loop_
_atom_site_label
_atom_site_type_symbol
_atom_site_fract_x
_atom_site_fract_y
_atom_site_fract_z
Al1 Al 0.0000 0.0000 0.0000
Al2 Al 0.5000 0.0000 0.3920
Si1 Si 0.0000 0.0000 0.3854
Br1 Br 0.5000 0.0000 0.8447

Record 3
# CoNi2Rh, relaxed, DFT PBEsol
# Energy of formation from the pure elements (meV/atom): 53
# Energy relative to the lowest polymorph listed for this composition (eV/atom): 0.016
# Density (g cm⁻³): 10.199
data_CoNi2Rh
_chemical_formula_sum 'Co2 Ni4 Rh2'
_cell_length_a 5.0102
_cell_length_b 7.1619
_cell_length_c 2.5339
_cell_angle_alpha 90.00
_cell_angle_beta 90.00
_cell_angle_gamma 90.00
_space_group_name_H-M_alt 'C m m m'
_space_group_IT_number 65
_space_group_name_Hall '-C 2 2'
loop_
_atom_site_label
_atom_site_type_symbol
_atom_site_fract_x
_atom_site_fract_y
_atom_site_fract_z
Co1 Co 0.0000 0.0000 0.0000
Ni1 Ni 0.2500 0.2500 0.5000
Rh1 Rh 0.0000 0.5000 0.0000

Record 4
# CuReSi2, relaxed, DFT PBEsol
# Energy relative to the lowest polymorph listed for this composition (eV/atom): 0.252
# Density (g cm⁻³): 9.349
# Formation energy without anion corrections (kJ per mole of atoms): 23.1
data_CuReSi2
_chemical_formula_sum 'Cu2 Re2 Si4'
_cell_length_a 3.0539
_cell_length_b 4.5974
_cell_length_c 7.7398
_cell_angle_alpha 90.00
_cell_angle_beta 90.00
_cell_angle_gamma 90.00
_space_group_name_H-M_alt 'C m m m'
_space_group_IT_number 65
_space_group_name_Hall '-C 2 2'
loop_
_atom_site_label
_atom_site_type_symbol
_atom_site_fract_x
_atom_site_fract_y
_atom_site_fract_z
Cu1 Cu 0.0000 0.0000 0.0000
Re1 Re 0.0000 0.0000 0.5000
Si1 Si 0.0000 0.5000 0.2504

Record 5
# RbTi3FeO8, relaxed, DFT PBEsol
# Density (g cm⁻³): 4.684
# Formation energy without anion corrections (kJ per mole of atoms): -247.6
data_RbTi3FeO8
_chemical_formula_sum 'Rb2 Ti6 Fe2 O16'
_cell_length_a 14.0518
_cell_length_b 2.9625
_cell_length_c 9.8958
_cell_angle_alpha 90.00
_cell_angle_beta 134.71
_cell_angle_gamma 90.00
_space_group_name_H-M_alt 'C 1 m 1'
_space_group_IT_number 8
_space_group_name_Hall 'C -2y'
loop_
_atom_site_label
_atom_site_type_symbol
_atom_site_fract_x
_atom_site_fract_y
_atom_site_fract_z
Rb1 Rb 0.0000 0.0000 0.0000
Ti1 Ti 0.1582 0.5000 0.5208
Ti2 Ti 0.3329 0.0000 0.4881
Ti3 Ti 0.3346 0.5000 0.1625
Fe1 Fe 0.1459 0.0000 0.8185
O1 O 0.0326 0.0000 0.3688
O2 O 0.1442 0.5000 0.9395
O3 O 0.1558 0.5000 0.7067
O4 O 0.2022 0.5000 0.3614
O5 O 0.2907 0.0000 0.6447
O6 O 0.3220 0.0000 0.2803
O7 O 0.3387 0.0000 0.0359
O8 O 0.4582 0.5000 0.6246

Record 6
# Ba2AgAs, relaxed, DFT PBEsol
# Energy of formation from the pure elements (meV/atom): -673
# Density (g cm⁻³): 5.815
data_Ba2AgAs
_chemical_formula_sum 'Ba4 Ag2 As2'
_cell_length_a 4.6981
_cell_length_b 4.5855
_cell_length_c 12.1268
_cell_angle_alpha 90.00
_cell_angle_beta 90.00
_cell_angle_gamma 90.00
_space_group_name_H-M_alt 'A m m 2'
_space_group_IT_number 38
_space_group_name_Hall 'A 2 -2'
loop_
_atom_site_label
_atom_site_type_symbol
_atom_site_fract_x
_atom_site_fract_y
_atom_site_fract_z
Ba1 Ba 0.0000 0.0000 0.0000
Ba2 Ba 0.5000 0.0000 0.2729
Ag1 Ag 0.5000 0.0000 0.5712
As1 As 0.0000 0.0000 0.7109

Record 7
# SmTaO4, relaxed, DFT PBEsol
# Density (g cm⁻³): 8.638
# Formation energy without anion corrections (kJ per mole of atoms): -314.3
data_SmTaO4
_chemical_formula_sum 'Sm4 Ta4 O16'
_cell_length_a 7.0355
_cell_length_b 11.0930
_cell_length_c 5.0817
_cell_angle_alpha 90.00
_cell_angle_beta 129.97
_cell_angle_gamma 90.00
_space_group_name_H-M_alt 'C 1 2/c 1'
_space_group_IT_number 15
_space_group_name_Hall '-C 2yc'
loop_
_atom_site_label
_atom_site_type_symbol
_atom_site_fract_x
_atom_site_fract_y
_atom_site_fract_z
Sm1 Sm 0.0000 0.1322 0.2500
Ta1 Ta 0.0000 0.4017 0.7500
O1 O 0.1527 0.2913 0.6595
O2 O 0.2381 0.4695 0.2104

Record 8
# ReSiOF2, relaxed, DFT PBEsol
# Energy relative to the lowest polymorph listed for this composition (eV/atom): 0.000
# Density (g cm⁻³): 6.586
# Formation energy without anion corrections (kJ per mole of atoms): -45.4
data_ReSiOF2
_chemical_formula_sum 'Re1 Si1 O1 F2'
_cell_length_a 4.2552
_cell_length_b 4.2552
_cell_length_c 3.7356
_cell_angle_alpha 90.00
_cell_angle_beta 90.00
_cell_angle_gamma 90.00
_space_group_name_H-M_alt 'P 4/m m m'
_space_group_IT_number 123
_space_group_name_Hall '-P 4 2'
loop_
_atom_site_label
_atom_site_type_symbol
_atom_site_fract_x
_atom_site_fract_y
_atom_site_fract_z
Re1 Re 0.0000 0.0000 0.0000
Si1 Si 0.5000 0.5000 0.5000
O1 O 0.0000 0.0000 0.5000
F1 F 0.0000 0.5000 0.0000

Record 9
# LaZrAs2, relaxed, DFT PBEsol
# Energy of formation from the pure elements (meV/atom): -1014
# Energy relative to the lowest polymorph listed for this composition (eV/atom): 0.346
# Density (g cm⁻³): 6.720
data_LaZrAs2
_chemical_formula_sum 'La2 Zr2 As4'
_cell_length_a 4.2615
_cell_length_b 3.8783
_cell_length_c 11.3616
_cell_angle_alpha 90.00
_cell_angle_beta 90.00
_cell_angle_gamma 90.00
_space_group_name_H-M_alt 'A m m 2'
_space_group_IT_number 38
_space_group_name_Hall 'A 2 -2'
loop_
_atom_site_label
_atom_site_type_symbol
_atom_site_fract_x
_atom_site_fract_y
_atom_site_fract_z
La1 La 0.0000 0.0000 0.0000
Zr1 Zr 0.5000 0.0000 0.2608
As1 As 0.0000 0.0000 0.7325
As2 As 0.5000 0.0000 0.4900

Record 10
# CoNiP2, relaxed, DFT PBEsol
# Energy of formation from the pure elements (meV/atom): -288
# Density (g cm⁻³): 6.737
data_CoNiP2
_chemical_formula_sum 'Co2 Ni2 P4'
_cell_length_a 7.0357
_cell_length_b 2.7215
_cell_length_c 4.7407
_cell_angle_alpha 90.00
_cell_angle_beta 102.79
_cell_angle_gamma 90.00
_space_group_name_H-M_alt 'C 1 2/m 1'
_space_group_IT_number 12
_space_group_name_Hall '-C 2y'
loop_
_atom_site_label
_atom_site_type_symbol
_atom_site_fract_x
_atom_site_fract_y
_atom_site_fract_z
Co1 Co 0.0000 0.0000 0.0000
Ni1 Ni 0.0000 0.5000 0.5000
P1 P 0.2463 0.5000 0.2429

Record 11
# Ba2MgAl, relaxed, DFT PBEsol
# Energy of formation from the pure elements (meV/atom): 183
# Energy relative to the lowest polymorph listed for this composition (eV/atom): 0.244
# Density (g cm⁻³): 3.524
data_Ba2MgAl
_chemical_formula_sum 'Ba6 Mg3 Al3'
_cell_length_a 3.9889
_cell_length_b 3.9889
_cell_length_c 33.4386
_cell_angle_alpha 90.00
_cell_angle_beta 90.00
_cell_angle_gamma 120.00
_space_group_name_H-M_alt 'R -3 m'
_space_group_IT_number 166
_space_group_name_Hall '-R 3 2"'
loop_
_atom_site_label
_atom_site_type_symbol
_atom_site_fract_x
_atom_site_fract_y
_atom_site_fract_z
Ba1 Ba 0.0000 0.0000 0.2429
Mg1 Mg 0.0000 0.0000 0.0000
Al1 Al 0.0000 0.0000 0.5000

Record 12
# SrBe3, relaxed, DFT PBEsol
# Energy of formation from the pure elements (meV/atom): 877
# Energy relative to the lowest polymorph listed for this composition (eV/atom): 0.295
# Density (g cm⁻³): 2.546
data_SrBe3
_chemical_formula_sum 'Sr1 Be3'
_cell_length_a 3.5390
_cell_length_b 3.5390
_cell_length_c 6.8947
_cell_angle_alpha 90.00
_cell_angle_beta 90.00
_cell_angle_gamma 120.00
_space_group_name_H-M_alt 'P -6 m 2'
_space_group_IT_number 187
_space_group_name_Hall 'P -6 2'
loop_
_atom_site_label
_atom_site_type_symbol
_atom_site_fract_x
_atom_site_fract_y
_atom_site_fract_z
Sr1 Sr 0.0000 0.0000 0.0000
Be1 Be 0.0000 0.0000 0.5000
Be2 Be 0.6667 0.3333 0.3490

Record 13
# MgCdOs, relaxed, DFT PBEsol
# Energy of formation from the pure elements (meV/atom): 356
# Energy relative to the lowest polymorph listed for this composition (eV/atom): 0.000
# Density (g cm⁻³): 10.976
data_MgCdOs
_chemical_formula_sum 'Mg1 Cd1 Os1'
_cell_length_a 4.5914
_cell_length_b 4.5914
_cell_length_c 2.7094
_cell_angle_alpha 90.00
_cell_angle_beta 90.00
_cell_angle_gamma 120.00
_space_group_name_H-M_alt 'P 3 m 1'
_space_group_IT_number 156
_space_group_name_Hall 'P 3 -2"'
loop_
_atom_site_label
_atom_site_type_symbol
_atom_site_fract_x
_atom_site_fract_y
_atom_site_fract_z
Mg1 Mg 0.0000 0.0000 0.0000
Cd1 Cd 0.6667 0.3333 0.2658
Os1 Os 0.3333 0.6667 0.6439

Record 14
# LiSc2Os, relaxed, DFT PBEsol
# Energy of formation from the pure elements (meV/atom): -271
# Energy relative to the lowest polymorph listed for this composition (eV/atom): 0.041
# Density (g cm⁻³): 6.082
data_LiSc2Os
_chemical_formula_sum 'Li1 Sc2 Os1'
_cell_length_a 3.1897
_cell_length_b 3.1897
_cell_length_c 7.7042
_cell_angle_alpha 90.00
_cell_angle_beta 90.00
_cell_angle_gamma 90.00
_space_group_name_H-M_alt 'P 4/m m m'
_space_group_IT_number 123
_space_group_name_Hall '-P 4 2'
loop_
_atom_site_label
_atom_site_type_symbol
_atom_site_fract_x
_atom_site_fract_y
_atom_site_fract_z
Li1 Li 0.0000 0.0000 0.0000
Sc1 Sc 0.5000 0.5000 0.3015
Os1 Os 0.0000 0.0000 0.5000